1.
# Ba2Hg2Sb PBE relaxed
# E above lowest polymorph	0.066	eV per atom
# formation energy (no corrections)	-590.0	meV per atom
data_Ba2Hg2Sb
_cell_length_a 8.592
_cell_length_b 8.592
_cell_length_c 4.865
_cell_angle_alpha 90.00
_cell_angle_beta 90.00
_cell_angle_gamma 90.00
_symmetry_space_group_name_H-M 'P 4/m b m'
_symmetry_Int_Tables_number 127
_symmetry_space_group_name_Hall '-P 4 2ab'
loop_
_atom_site_label
_atom_site_fract_x
_atom_site_fract_y
_atom_site_fract_z
_atom_site_occupancy
Ba1 0.184 0.316 0.000 1
Hg1 0.121 0.621 0.500 1
Sb1 0.000 0.000 0.500 1

2.
# Li2Pu2I7 PBE relaxed
# formation energy (no corrections)	-1096.9	meV per atom
data_Li2Pu2I7
_cell_length_a 8.025
_cell_length_b 13.583
_cell_length_c 11.950
_cell_angle_alpha 90.00
_cell_angle_beta 108.80
_cell_angle_gamma 90.00
_symmetry_space_group_name_H-M 'C 1 2/m 1'
_symmetry_Int_Tables_number 12
loop_
_symmetry_equiv_pos_as_xyz
'x,y,z'
'-x,-y,-z'
'-x,y,-z'
'x,-y,z'
'x+1/2,y+1/2,z'
'-x+1/2,-y+1/2,-z'
'-x+1/2,y+1/2,-z'
'x+1/2,-y+1/2,z'
loop_
_atom_site_label
_atom_site_fract_x
_atom_site_fract_y
_atom_site_fract_z
_atom_site_occupancy
Li1 0.173 0.000 0.223 1
Pu1 0.000 0.331 0.500 1
I1 0.000 0.000 0.000 1
I2 0.045 0.500 0.329 1
I3 0.103 0.175 0.338 1

What did the second record say?
# Li2Pu2I7 PBE relaxed
# formation energy (no corrections)	-1096.9	meV per atom
data_Li2Pu2I7
_cell_length_a 8.025
_cell_length_b 13.583
_cell_length_c 11.950
_cell_angle_alpha 90.00
_cell_angle_beta 108.80
_cell_angle_gamma 90.00
_symmetry_space_group_name_H-M 'C 1 2/m 1'
_symmetry_Int_Tables_number 12
loop_
_symmetry_equiv_pos_as_xyz
'x,y,z'
'-x,-y,-z'
'-x,y,-z'
'x,-y,z'
'x+1/2,y+1/2,z'
'-x+1/2,-y+1/2,-z'
'-x+1/2,y+1/2,-z'
'x+1/2,-y+1/2,z'
loop_
_atom_site_label
_atom_site_fract_x
_atom_site_fract_y
_atom_site_fract_z
_atom_site_occupancy
Li1 0.173 0.000 0.223 1
Pu1 0.000 0.331 0.500 1
I1 0.000 0.000 0.000 1
I2 0.045 0.500 0.329 1
I3 0.103 0.175 0.338 1